Entry 1:
First-principles (PBE) data for a geometry-optimized PmHo6Er2Th structure, as listed in the Alexandria database.

Unit cell a=9.537 b=8.716 c=8.716 alpha=116.96 beta=93.80 gamma=93.80
Atoms (fractional coordinates):
Pm  0.250  0.974  0.026
Pm  0.750  0.026  0.974
Ho  0.059  0.121  0.749
Ho  0.441  0.251  0.879
Ho  0.941  0.879  0.251
Ho  0.559  0.749  0.121
Ho  0.317  0.977  0.430
Ho  0.183  0.570  0.023
Ho  0.683  0.023  0.570
Ho  0.817  0.430  0.977
Ho  0.118  0.703  0.491
Ho  0.382  0.509  0.297
Ho  0.882  0.297  0.509
Ho  0.618  0.491  0.703
Er  0.453  0.806  0.703
Er  0.047  0.297  0.194
Er  0.547  0.194  0.297
Er  0.953  0.703  0.806
Th  0.250  0.406  0.594
Th  0.750  0.594  0.406

Computed properties:
ΔE_f: 1.44 eV per formula unit
magnetic moment: 0.00 μB per cell
SG: C2/c, No. 15


Entry 2:
First-principles (PBE) data for a geometry-optimized Pm3Ho6ErTh2 structure, as listed in the Alexandria database.

Unit cell a=6.178 b=6.178 c=11.760 alpha=95.03 beta=95.03 gamma=119.97
Atoms (fractional coordinates):
Pm  0.166  0.834  0.500
Pm  0.834  0.166  0.500
Pm  0.500  0.500  0.500
Ho  0.918  0.581  0.755
Ho  0.745  0.745  0.246
Ho  0.082  0.419  0.245
Ho  0.581  0.918  0.755
Ho  0.255  0.255  0.754
Ho  0.419  0.082  0.245
Er  0.000  0.000  0.000
Th  0.333  0.667  0.000
Th  0.667  0.333  0.000

Computed properties:
ΔE_f: 0.21 eV per formula unit
magnetic moment: 0.00 μB per cell
SG: C2/m, No. 12


Entry 3:
First-principles (PBE) data for a geometry-optimized PmHo5ErTh2 structure, as listed in the Alexandria database.

Unit cell a=8.834 b=8.834 c=9.839 alpha=116.68 beta=116.68 gamma=90.00
Atoms (fractional coordinates):
Pm  0.250  0.250  0.500
Pm  0.750  0.750  0.500
Ho  0.930  0.430  0.276
Ho  0.653  0.153  0.724
Ho  0.070  0.570  0.724
Ho  0.153  0.070  0.724
Ho  0.570  0.653  0.724
Ho  0.847  0.930  0.276
Ho  0.430  0.347  0.276
Ho  0.347  0.847  0.276
Ho  0.500  0.500  0.000
Ho  0.000  0.000  0.000
Er  0.250  0.750  0.500
Er  0.750  0.250  0.500
Th  0.119  0.381  0.000
Th  0.619  0.119  0.000
Th  0.381  0.881  0.000
Th  0.881  0.619  0.000

Computed properties:
ΔE_f: 3.08 eV per formula unit
magnetic moment: 0.00 μB per cell
SG: I4/mcm, No. 140


Entry 4:
First-principles (PBE) data for a geometry-optimized PmHo2ErTh structure, as listed in the Alexandria database.

Unit cell a=5.605 b=8.666 c=7.064 alpha=90.06 beta=90.00 gamma=90.00
Atoms (fractional coordinates):
Pm  0.000  0.000  0.000
Pm  0.000  0.000  0.500
Ho  0.500  0.678  0.999
Ho  0.500  0.322  0.501
Ho  0.500  0.678  0.499
Ho  0.500  0.322  0.001
Er  0.000  0.500  0.750
Er  0.000  0.500  0.250
Th  0.500  0.000  0.250
Th  0.500  0.000  0.750

Computed properties:
ΔE_f: 1.65 eV per formula unit
magnetic moment: 0.00 μB per cell
SG: P2/m, No. 10